1.
A relaxed structure of K2LaAu2. Source: Alexandria, functional PBE.

Unit cell a=9.1795 b=9.1795 c=3.5354 alpha=90.00 beta=90.00 gamma=90.00
With the nearest neighbours (Å) after each atom.
Fractional positions:
K 0.3835 0.8835 0.0000  1 K 3.02, 6 Au 3.10-3.37
K 0.8835 0.6165 0.0000  1 K 3.02, 6 Au 3.10-3.37
K 0.6165 0.1165 0.0000  1 K 3.02, 6 Au 3.10-3.37
K 0.1165 0.3835 0.0000  1 K 3.02, 6 Au 3.10-3.37
Au 0.1874 0.6874 0.5000  6 K 3.10-3.37
Au 0.6874 0.8126 0.5000  6 K 3.10-3.37
Au 0.8126 0.3126 0.5000  6 K 3.10-3.37
Au 0.3126 0.1874 0.5000  6 K 3.10-3.37
La 0.0000 0.0000 0.0000  2 La 3.54, 4 K 3.68, 8 Au 3.78
La 0.5000 0.5000 0.0000  2 La 3.54, 4 K 3.68, 8 Au 3.78

Energy of formation ... -0.3 eV/f.u.
ΔE to the lowest computed polymorph ... 0.922 eV/f.u.
Raw total energy ... -2.790 eV/atom
M_tot ... 0.539 μB per cell
Crystal system ... tetragonal
Symmetry ... No. 127

***

2.
A relaxed structure of TcHgOs2. Source: Alexandria, functional PBE.

Unit cell a=4.8571 b=4.8571 c=4.9183 alpha=80.25 beta=80.25 gamma=33.88
With the nearest neighbours (Å) after each atom.
Fractional positions:
Hg 0.7498 0.7498 0.7476  3 Tc 2.79-2.94, 7 Os 2.82-2.96, 2 Hg 2.83
Os 0.9868 0.9868 0.0346  2 Tc 2.62, 5 Os 2.66-2.83, 1 Hg 2.82
Os 0.2510 0.2510 0.2459  5 Os 2.66-2.83, 3 Tc 2.70-2.85, 4 Hg 2.83-2.84
Tc 0.5124 0.5124 0.4719  5 Os 2.62-2.85, 1 Hg 2.79, 2 Tc 2.83

Energy of formation ... 2.5 eV/f.u.
Raw total energy ... -7.648 eV/atom
M_tot ... 0.001 μB per cell
Crystal system ... monoclinic
Symmetry ... No. 8

***

3.
A relaxed structure of Pu2MnSi4Ir3. Source: Alexandria, functional PBE.

Unit cell a=4.0888 b=4.0888 c=10.0951 alpha=90.00 beta=90.00 gamma=90.00
With the nearest neighbours (Å) after each atom.
Fractional positions:
Pu 0.5000 0.0000 0.2481  8 Si 3.13-3.23, 6 Ir 3.14-3.26, 2 Mn 3.26
Pu 0.0000 0.5000 0.7519  8 Si 3.13-3.23, 6 Ir 3.14-3.26, 2 Mn 3.26
Mn 0.5000 0.5000 0.5000  4 Si 2.44
Si 0.5000 0.5000 0.0000  4 Ir 2.42
Si 0.0000 0.0000 0.0000  4 Ir 2.42
Si 0.5000 0.0000 0.6319  3 Ir 2.43-2.44, 2 Mn 2.44
Si 0.0000 0.5000 0.3681  3 Ir 2.43-2.44, 2 Mn 2.44
Ir 0.0000 0.0000 0.5000  4 Si 2.44
Ir 0.5000 0.0000 0.8724  5 Si 2.42-2.43
Ir 0.0000 0.5000 0.1276  5 Si 2.42-2.43

Raw total energy ... -9.328 eV/atom
M_tot ... 12.330 μB per cell
Crystal system ... tetragonal
Symmetry ... No. 115
E_form (uncorrected) ... -0.717 eV per atom

***

4.
A relaxed structure of SnSb2Pd8. Source: Alexandria, functional PBE.

Unit cell a=4.1871 b=6.4737 c=7.7185 alpha=109.55 beta=105.74 gamma=90.00
With the nearest neighbours (Å) after each atom.
Fractional positions:
Sn 0.5000 0.0000 0.0000  8 Pd 2.76-2.77
Sb 0.8050 0.3310 0.6100  9 Pd 2.65-2.87
Sb 0.1950 0.6690 0.3900  9 Pd 2.65-2.87
Pd 0.4098 0.5462 0.8196  2 Sb 2.69, 1 Sn 2.77, 6 Pd 2.79-2.95
Pd 0.6732 0.9304 0.3464  3 Sb 2.65-2.78, 1 Sn 2.76, 6 Pd 2.90-2.97
Pd 0.8361 0.7657 0.6722  3 Sb 2.69-2.87, 6 Pd 2.91-2.97
Pd 0.9678 0.2453 0.9355  1 Sb 2.66, 2 Sn 2.77, 5 Pd 2.79-2.94
Pd 0.1639 0.2343 0.3278  3 Sb 2.69-2.87, 6 Pd 2.91-2.97
Pd 0.3268 0.0696 0.6536  3 Sb 2.65-2.78, 1 Sn 2.76, 6 Pd 2.90-2.97
Pd 0.5902 0.4538 0.1804  2 Sb 2.69, 1 Sn 2.77, 6 Pd 2.79-2.95
Pd 0.0322 0.7547 0.0645  1 Sb 2.66, 2 Sn 2.77, 5 Pd 2.79-2.94

ΔE to the lowest computed polymorph ... 0.000 eV/f.u.
Raw total energy ... -5.331 eV/atom
M_tot ... 0.000 μB per cell
Crystal system ... monoclinic
Symmetry ... No. 12
E_form (uncorrected) ... -0.441 eV per atom

***

5.
A relaxed structure of Sr2AcAl. Source: Alexandria, functional PBE.

Unit cell a=3.8819 b=3.8819 c=10.5684 alpha=90.00 beta=90.00 gamma=90.00
With the nearest neighbours (Å) after each atom.
Fractional positions:
Sr 0.0000 0.0000 0.8068  4 Al 3.42
Sr 0.0000 0.0000 0.1932  4 Al 3.42
Ac 0.5000 0.5000 0.5000  4 Ac 3.88, 8 Sr 4.25
Al 0.5000 0.5000 0.0000  8 Sr 3.42

Energy of formation ... 0.1 eV/f.u.
ΔE to the lowest computed polymorph ... 0.000 eV/f.u.
Raw total energy ... -2.790 eV/atom
M_tot ... 0.000 μB per cell
Crystal system ... tetragonal
Symmetry ... No. 123

***

6.
A relaxed structure of MgSi2Ni2. Source: Alexandria, functional PBE.

Unit cell a=6.9576 b=6.9576 c=2.6823 alpha=90.00 beta=90.00 gamma=90.00
With the nearest neighbours (Å) after each atom.
Fractional positions:
Ni 0.3684 0.8684 0.0000  6 Si 2.44-2.45, 3 Ni 2.59-2.68, 2 Mg 2.72
Ni 0.8684 0.6316 0.0000  6 Si 2.44-2.45, 3 Ni 2.59-2.68, 2 Mg 2.72
Ni 0.6316 0.1316 0.0000  6 Si 2.44-2.45, 3 Ni 2.59-2.68, 2 Mg 2.72
Ni 0.1316 0.3684 0.0000  6 Si 2.44-2.45, 3 Ni 2.59-2.68, 2 Mg 2.72
Si 0.1609 0.6609 0.5000  6 Ni 2.44-2.45, 2 Si 2.68
Si 0.6609 0.8391 0.5000  6 Ni 2.44-2.45, 2 Si 2.68
Si 0.8391 0.3391 0.5000  6 Ni 2.44-2.45, 2 Si 2.68
Si 0.3391 0.1609 0.5000  6 Ni 2.44-2.45, 2 Si 2.68
Mg 0.0000 0.0000 0.0000  2 Mg 2.68, 4 Ni 2.72, 8 Si 2.94
Mg 0.5000 0.5000 0.0000  2 Mg 2.68, 4 Ni 2.72, 8 Si 2.94

Raw total energy ... -5.072 eV/atom
M_tot ... 0.000 μB per cell
Crystal system ... tetragonal
Symmetry ... No. 127
E_form (uncorrected) ... -0.271 eV per atom

***

7.
A relaxed structure of SmDyLuZr. Source: Alexandria, functional PBE.

Unit cell a=5.4754 b=5.4754 c=5.4754 alpha=60.00 beta=60.00 gamma=60.00
With the nearest neighbours (Å) after each atom.
Fractional positions:
Lu 0.5000 0.5000 0.5000  4 Zr 3.35, 4 Sm 3.35
Zr 0.2500 0.2500 0.2500  4 Dy 3.35, 4 Lu 3.35
Sm 0.7500 0.7500 0.7500  4 Dy 3.35, 4 Lu 3.35
Dy 0.0000 0.0000 0.0000  4 Sm 3.35, 4 Zr 3.35

Energy of formation ... 0.9 eV/f.u.
Raw total energy ... -5.384 eV/atom
M_tot ... 1.647 μB per cell
Crystal system ... cubic
Symmetry ... No. 216

***

8.
A relaxed structure of LaAgCl. Source: Alexandria, functional PBE.

Unit cell a=4.8917 b=4.8917 c=3.9615 alpha=90.00 beta=90.00 gamma=120.00
With the nearest neighbours (Å) after each atom.
Fractional positions:
Cl 0.3333 0.6667 0.5006  3 La 2.82
Ag 0.0000 0.0000 0.9997  6 Cl 3.45, 6 La 3.45
La 0.6667 0.3333 0.4997  3 Cl 2.82

ΔE to the lowest computed polymorph ... 0.814 eV/f.u.
Raw total energy ... -4.070 eV/atom
M_tot ... 0.000 μB per cell
Crystal system ... hexagonal
Symmetry ... No. 187
E_form (uncorrected) ... -0.861 eV per atom

***

9.
A relaxed structure of LiFeOs2. Source: Alexandria, functional PBE.

Unit cell a=7.1229 b=7.1229 c=5.5613 alpha=50.18 beta=50.18 gamma=90.00
With the nearest neighbours (Å) after each atom.
Fractional positions:
Os 0.6880 0.1250 0.2500  2 Fe 2.30, 2 Os 2.52
Os 0.0620 0.6250 0.2500  2 Fe 2.30, 2 Os 2.52
Os 0.3750 0.3120 0.7500  2 Fe 2.30, 2 Os 2.52
Os 0.8750 0.9380 0.7500  2 Fe 2.30, 2 Os 2.52
Fe 0.0000 0.0000 0.0000  4 Os 2.30, 2 Li 2.36
Fe 0.7500 0.2500 0.5000  4 Os 2.30, 2 Li 2.36
Li 0.5000 0.5000 0.0000  2 Fe 2.36
Li 0.2500 0.7500 0.5000  2 Fe 2.36

Energy of formation ... 3.1 eV/f.u.
ΔE to the lowest computed polymorph ... 2.402 eV/f.u.
Raw total energy ... -7.441 eV/atom
M_tot ... 0.915 μB per cell
Crystal system ... tetragonal
Symmetry ... No. 122

***

10.
A relaxed structure of PrY3Fe. Source: Alexandria, functional PBE.

Unit cell a=5.3286 b=5.3286 c=5.3286 alpha=90.00 beta=90.00 gamma=90.00
With the nearest neighbours (Å) after each atom.
Fractional positions:
Pr 0.5000 0.5000 0.5000  12 Y 3.77
Y 0.0000 0.5000 0.0000  2 Fe 2.66
Y 0.0000 0.0000 0.5000  2 Fe 2.66
Y 0.5000 0.0000 0.0000  2 Fe 2.66
Fe 0.0000 0.0000 0.0000  6 Y 2.66

Energy of formation ... 0.5 eV/f.u.
ΔE to the lowest computed polymorph ... 0.354 eV/f.u.
Raw total energy ... -6.425 eV/atom
M_tot ... 0.002 μB per cell
Crystal system ... cubic
Symmetry ... No. 221

***

11.
A relaxed structure of CrW2BrN. Source: Alexandria, functional PBE.

Unit cell a=4.7874 b=3.5365 c=4.7874 alpha=90.00 beta=90.00 gamma=90.00
With the nearest neighbours (Å) after each atom.
Fractional positions:
Cr 0.5000 0.5000 0.5000  8 W 2.98
Br 0.0000 0.0000 0.0000  2 N 1.77
W 0.0000 0.0000 0.5000  2 Br 2.39
W 0.5000 0.0000 0.0000  2 Br 2.39
N 0.0000 0.5000 0.0000  2 Br 1.77

Raw total energy ... -6.289 eV/atom
M_tot ... 0.000 μB per cell
Crystal system ... tetragonal
Symmetry ... No. 123
E_form (uncorrected) ... 2.817 eV per atom

***

12.
A relaxed structure of SmY2Cd3. Source: Alexandria, functional PBE.

Unit cell a=3.7679 b=3.7679 c=11.3561 alpha=90.00 beta=90.00 gamma=90.00
With the nearest neighbours (Å) after each atom.
Fractional positions:
Sm 0.5000 0.5000 0.5000  8 Cd 3.31
Y 0.5000 0.5000 0.8352  8 Cd 3.24-3.26
Y 0.5000 0.5000 0.1648  8 Cd 3.24-3.26
Cd 0.0000 0.0000 0.0000  8 Y 3.26
Cd 0.0000 0.0000 0.6730  4 Y 3.24, 4 Sm 3.31
Cd 0.0000 0.0000 0.3270  4 Y 3.24, 4 Sm 3.31

Energy of formation ... -2.0 eV/f.u.
Raw total energy ... -3.738 eV/atom
M_tot ... 0.492 μB per cell
Crystal system ... tetragonal
Symmetry ... No. 123

***

13.
A relaxed structure of LiCo2Ir. Source: Alexandria, functional PBE.

Unit cell a=4.0777 b=4.0777 c=4.0777 alpha=60.00 beta=60.00 gamma=60.00
With the nearest neighbours (Å) after each atom.
Fractional positions:
Co 0.0000 0.0000 0.0000  4 Li 2.50, 4 Co 2.50
Co 0.7500 0.7500 0.7500  4 Co 2.50, 4 Ir 2.50
Ir 0.5000 0.5000 0.5000  4 Co 2.50, 4 Li 2.50
Li 0.2500 0.2500 0.2500  4 Ir 2.50, 4 Co 2.50

Energy of formation ... 0.4 eV/f.u.
Raw total energy ... -6.155 eV/atom
M_tot ... 4.491 μB per cell
Crystal system ... cubic
Symmetry ... No. 216